Ba2Mg5Cd5: optimized geometry, PBE.

Lattice parameters (Å, degrees): 4.886 6.262 10.750 90.00 90.00 90.00
Space group Pmmm (No. 47)
Unique sites:
Ba 0.000 0.000 0.000 (multiplicity 1)
Ba 0.000 0.500 0.500 (multiplicity 1)
Mg 0.500 0.000 0.500 (multiplicity 1)
Mg 0.500 0.250 0.246 (multiplicity 4)
Cd 0.000 0.000 0.333 (multiplicity 2)
Cd 0.000 0.500 0.169 (multiplicity 2)
Cd 0.500 0.500 0.000 (multiplicity 1)

Computed properties:
Volume: 27.41 A^3/atom
Theoretical density: 4838 kg/m³
Electronic total energy: -18.70 eV/cell